Entry from the Alexandria database: a geometry-optimized Ac6RuRhAu2 structure (PBE).

Its magnetization is 0.0 Bohr magnetons per cell. The energy of formation is -4.98 eV per formula unit. The value obtained for the uncorrected energy is -5.28 eV per atom.

The space group is R3 (No. 146, hexagonal axes) and the conventional cell measures 7.8029, 7.8029 and 20.5662 Å, with angles of 90.00, 90.00 and 120.00 degrees. Symmetry generates all atoms from Ac at (0.0059, 0.3807, 0.0000), Ac at (0.0122, 0.6288, 0.4986), Ru at (0.0000, 0.0000, 0.7409), Rh at (0.0000, 0.0000, 0.2436), Au at (0.0000, 0.0000, 0.4390) and Au at (0.0000, 0.0000, 0.9385).